[1]
## BeNbAg2W (PBE)

Data for a geometry-optimized BeNbAg2W structure.

E_tot: -5.6139 eV per atom
crystal system: tetragonal
Fermi-level density of states: 0.4856 states/eV/atom

Cell and atoms, written as extended XYZ:
```
5
Lattice="4.198 0.000 0.000 0.000 4.198 0.000 0.000 0.000 4.601" Properties=species:S:1:pos:R:3 pbc="T T T"
Be 0.000 0.000 0.000
Nb 0.000 0.000 2.300
Ag 0.000 2.099 0.000
Ag 2.099 0.000 0.000
W 2.099 2.099 2.300
```

[2]
## Nd2BeAg (PBE)

Data for a geometry-optimized Nd2BeAg structure.

E_tot: -4.0665 eV per atom
ΔE to the lowest computed polymorph: 0 meV/atom
crystal system: tetragonal
Fermi-level density of states: 0.7397 states/eV/atom

Cell and atoms, written as extended XYZ:
```
4
Lattice="3.620 0.000 0.000 0.000 3.620 0.000 0.000 0.000 7.380" Properties=species:S:1:pos:R:3 pbc="T T T"
Nd 0.000 0.000 1.681
Nd 0.000 0.000 5.699
Be 1.810 1.810 0.000
Ag 1.810 1.810 3.690
```

[3]
## Nd2BeAg (PBE)

Data for a geometry-optimized Nd2BeAg structure.

E_tot: -4.0098 eV per atom
ΔE to the lowest computed polymorph: 57 meV/atom
crystal system: cubic
Fermi-level density of states: 0.9521 states/eV/atom

Cell and atoms, written as extended XYZ:
```
4
Lattice="0.000 3.671 3.671 3.671 0.000 3.671 3.671 3.671 0.000" Properties=species:S:1:pos:R:3 pbc="T T T"
Nd 1.835 1.835 1.835
Nd 5.506 5.506 5.506
Be 0.000 0.000 0.000
Ag 3.671 3.671 3.671
```